# 1
Density functional theory data (GGA-PBE) for crystalline ScCuBiIr at its relaxed geometry. Values from VASP.

Its space group is No. 216. The total DFT energy (no corrections) comes out at -5.868 eV per atom.

The structure in Quantum ESPRESSO input format:
```
&SYSTEM
  ibrav = 0, nat = 4, ntyp = 4
/
ATOMIC_SPECIES
Bi 208.98 Bi.upf
Cu 63.55 Cu.upf
Ir 192.22 Ir.upf
Sc 44.96 Sc.upf
CELL_PARAMETERS angstrom
0.000 3.296 3.296
3.296 0.000 3.296
3.296 3.296 0.000
ATOMIC_POSITIONS angstrom
Bi 1.648 1.648 1.648
Cu 4.944 4.944 4.944
Ir 0.000 0.000 0.000
Sc 3.296 3.296 3.296
```


# 2
Density functional theory data (GGA-PBE) for crystalline Y2Co3Ge5 at its relaxed geometry. Values from VASP.

Its space group is No. 72. The total DFT energy (no corrections) comes out at -6.321 eV per atom.

The structure in Quantum ESPRESSO input format:
```
&SYSTEM
  ibrav = 0, nat = 20, ntyp = 3
/
ATOMIC_SPECIES
Co 58.93 Co.upf
Ge 72.64 Ge.upf
Y 88.91 Y.upf
CELL_PARAMETERS angstrom
-4.851 5.838 2.890
4.851 -5.838 2.890
4.851 5.838 -2.890
ATOMIC_POSITIONS angstrom
Co -1.014 1.632 2.890
Co 1.014 1.632 0.000
Co 0.000 5.838 1.445
Co 4.851 0.000 1.445
Co 3.837 4.206 2.890
Co 5.865 4.206 0.000
Ge 0.000 0.000 1.445
Ge 0.000 0.000 4.335
Ge 3.246 -1.087 2.890
Ge 0.000 3.213 1.445
Ge 4.851 -2.625 1.445
Ge 3.246 1.087 0.000
Ge 1.605 4.751 2.890
Ge 0.000 8.463 1.445
Ge 4.851 2.625 1.445
Ge 1.605 6.925 0.000
Y -2.591 4.227 2.890
Y 2.260 1.611 2.890
Y 2.591 4.227 0.000
Y 7.442 1.611 0.000
```


# 3
Density functional theory data (GGA-PBE) for crystalline Pu2AsBr2 at its relaxed geometry. Values from VASP.

Its space group is No. 166. The total DFT energy (no corrections) comes out at -8.652 eV per atom.

The structure in Quantum ESPRESSO input format:
```
&SYSTEM
  ibrav = 0, nat = 5, ntyp = 3
/
ATOMIC_SPECIES
As 74.92 As.upf
Br 79.90 Br.upf
Pu 244.00 Pu.upf
CELL_PARAMETERS angstrom
2.095 1.210 10.307
-2.095 1.210 10.307
0.000 -2.420 10.307
ATOMIC_POSITIONS angstrom
As 0.000 0.000 0.000
Br 0.000 0.000 6.911
Br 0.000 0.000 24.011
Pu 0.000 0.000 11.956
Pu 0.000 0.000 18.967
```


# 4
Density functional theory data (GGA-PBE) for crystalline PrDyS2 at its relaxed geometry. Values from VASP.

Its space group is No. 123. The total DFT energy (no corrections) comes out at -6.382 eV per atom.

The structure in Quantum ESPRESSO input format:
```
&SYSTEM
  ibrav = 0, nat = 4, ntyp = 3
/
ATOMIC_SPECIES
Dy 162.50 Dy.upf
Pr 140.91 Pr.upf
S 32.06 S.upf
CELL_PARAMETERS angstrom
4.007 0.000 0.000
0.000 4.007 0.000
0.000 0.000 5.667
ATOMIC_POSITIONS angstrom
Dy 0.000 0.000 0.000
Pr 2.003 2.003 2.834
S 2.003 2.003 0.000
S 0.000 0.000 2.834
```


# 5
Density functional theory data (GGA-PBE) for crystalline SmF3 at its relaxed geometry. Values from VASP.

Its space group is No. 182. The total DFT energy (no corrections) comes out at -6.476 eV per atom.

The structure in Quantum ESPRESSO input format:
```
&SYSTEM
  ibrav = 0, nat = 24, ntyp = 2
/
ATOMIC_SPECIES
F 19.00 F.upf
Sm 150.36 Sm.upf
CELL_PARAMETERS angstrom
-1.119 1.540 6.560
1.587 -6.399 -1.783
6.666 1.430 0.801
ATOMIC_POSITIONS angstrom
F 0.718 -3.746 1.002
F 0.722 0.755 2.390
F 1.409 -2.945 3.276
F 0.531 -0.420 6.068
F 1.666 0.357 0.200
F 1.496 1.477 4.576
F 2.387 -1.184 1.918
F 2.152 -2.179 5.646
F 3.984 -3.045 1.394
F 3.149 -0.385 4.183
F 5.287 -4.426 3.052
F 4.601 -0.727 2.167
F 5.478 -3.251 -0.625
F 4.999 1.072 0.601
F 6.762 -4.666 1.137
F 5.871 -2.005 3.795
F 6.106 -1.010 0.067
F 6.415 0.316 4.576
Sm -0.754 1.038 4.423
Sm 0.152 -1.583 1.556
Sm 1.070 -4.315 -1.202
Sm 2.968 1.216 2.537
Sm 3.648 -2.562 3.621
Sm 3.850 -1.370 -0.180
```


# 6
Density functional theory data (GGA-PBE) for crystalline LiErTe3Pd at its relaxed geometry. Values from VASP.

Its space group is No. 63. The total DFT energy (no corrections) comes out at -4.380 eV per atom.

The structure in Quantum ESPRESSO input format:
```
&SYSTEM
  ibrav = 0, nat = 12, ntyp = 4
/
ATOMIC_SPECIES
Er 167.26 Er.upf
Li 6.94 Li.upf
Pd 106.42 Pd.upf
Te 127.60 Te.upf
CELL_PARAMETERS angstrom
2.092 -7.764 0.000
2.092 7.764 0.000
0.000 0.000 9.996
ATOMIC_POSITIONS angstrom
Er 0.000 0.000 0.000
Er 0.000 0.000 4.998
Li 2.092 4.181 2.499
Li 2.092 -4.181 7.497
Pd 2.092 0.020 2.499
Pd 2.092 -0.020 7.497
Te 2.092 -2.092 0.871
Te 2.092 -5.972 2.499
Te 2.092 -2.092 4.127
Te 2.092 2.092 5.869
Te 2.092 5.972 7.497
Te 2.092 2.092 9.125
```


# 7
Density functional theory data (GGA-PBE) for crystalline LiPaAsO at its relaxed geometry. Values from VASP.

Its space group is No. 129. The total DFT energy (no corrections) comes out at -6.717 eV per atom.

The structure in Quantum ESPRESSO input format:
```
&SYSTEM
  ibrav = 0, nat = 8, ntyp = 4
/
ATOMIC_SPECIES
As 74.92 As.upf
Li 6.94 Li.upf
O 16.00 O.upf
Pa 231.04 Pa.upf
CELL_PARAMETERS angstrom
-1.578 3.158 1.736
-0.315 -2.009 3.367
8.149 2.751 2.404
ATOMIC_POSITIONS angstrom
As 2.400 -0.141 2.438
As 4.802 3.466 2.518
Li 4.075 1.375 1.202
Li 3.128 1.949 3.754
O 0.000 0.000 0.000
O -0.947 0.574 2.552
Pa 0.457 1.999 1.236
Pa 6.745 1.325 3.720
```


# 8
Density functional theory data (GGA-PBE) for crystalline PrGeBO5 at its relaxed geometry. Values from VASP.

Its space group is No. 144. The total DFT energy (no corrections) comes out at -7.624 eV per atom.

The structure in Quantum ESPRESSO input format:
```
&SYSTEM
  ibrav = 0, nat = 24, ntyp = 4
/
ATOMIC_SPECIES
B 10.81 B.upf
Ge 72.64 Ge.upf
O 16.00 O.upf
Pr 140.91 Pr.upf
CELL_PARAMETERS angstrom
-3.026 -5.131 3.554
-1.013 0.548 -6.840
5.418 -3.972 -1.121
ATOMIC_POSITIONS angstrom
B -1.408 -6.219 2.459
B -0.135 -6.677 -3.563
B 4.913 -4.466 -0.785
Ge -0.784 -2.581 -1.630
Ge -0.013 -4.387 -5.303
Ge 3.908 -3.049 -4.882
O -2.945 -4.287 0.447
O -1.184 -1.773 -0.086
O -2.313 -5.314 3.157
O -0.313 -2.789 -4.710
O 0.904 -2.092 -1.965
O -0.484 -4.273 -1.504
O -0.710 -5.433 1.378
O -1.532 -6.290 -3.410
O 2.474 -3.105 -3.915
O 0.709 -5.615 -4.220
O 1.982 -5.272 0.163
O 0.501 -6.665 -2.197
O 3.964 -3.375 -0.965
O 3.343 -5.878 -3.684
O 4.153 -4.257 -6.178
Pr -1.778 -3.017 2.072
Pr -1.802 -6.124 -0.833
Pr 1.944 -4.552 -2.093
```


# 9
Density functional theory data (GGA-PBE) for crystalline CsCuI2Br at its relaxed geometry. Values from VASP.

Its space group is No. 139. The total DFT energy (no corrections) comes out at -2.638 eV per atom.

The structure in Quantum ESPRESSO input format:
```
&SYSTEM
  ibrav = 0, nat = 10, ntyp = 4
/
ATOMIC_SPECIES
Br 79.90 Br.upf
Cs 132.91 Cs.upf
Cu 63.55 Cu.upf
I 126.90 I.upf
CELL_PARAMETERS angstrom
-3.475 -7.260 -1.277
2.320 -2.586 7.372
-4.305 6.870 -0.828
ATOMIC_POSITIONS angstrom
Br -0.347 -2.960 1.833
Br -0.808 -6.886 4.262
Cs -4.179 -2.657 0.471
Cs -1.282 -0.320 4.796
Cu 0.000 0.000 0.000
Cu -0.577 -4.923 3.047
I -2.157 -6.197 0.690
I 1.002 -3.649 5.405
I -2.221 0.885 1.009
I -3.240 -3.862 4.257
```


# 10
Density functional theory data (GGA-PBE) for crystalline LiTmCdTe3 at its relaxed geometry. Values from VASP.

Its space group is No. 63. The total DFT energy (no corrections) comes out at -3.664 eV per atom.

The structure in Quantum ESPRESSO input format:
```
&SYSTEM
  ibrav = 0, nat = 12, ntyp = 4
/
ATOMIC_SPECIES
Cd 112.41 Cd.upf
Li 6.94 Li.upf
Te 127.60 Te.upf
Tm 168.93 Tm.upf
CELL_PARAMETERS angstrom
-3.452 -2.524 0.006
0.559 -4.372 6.081
-5.734 7.854 6.174
ATOMIC_POSITIONS angstrom
Cd -2.702 -3.533 7.357
Cd -5.925 4.490 4.903
Li -1.853 -1.077 5.021
Li -6.773 2.034 7.239
Te -2.177 -4.256 4.700
Te -4.403 -1.217 2.832
Te -4.346 -1.286 7.036
Te -4.280 2.243 5.225
Te -4.223 2.174 9.429
Te -6.449 5.213 7.560
Tm 0.000 0.000 0.000
Tm -2.867 3.927 3.087
```


# 11
Density functional theory data (GGA-PBE) for crystalline PrGdSi2 at its relaxed geometry. Values from VASP.

Its space group is No. 31. The total DFT energy (no corrections) comes out at -5.849 eV per atom.

The structure in Quantum ESPRESSO input format:
```
&SYSTEM
  ibrav = 0, nat = 8, ntyp = 3
/
ATOMIC_SPECIES
Gd 157.25 Gd.upf
Pr 140.91 Pr.upf
Si 28.09 Si.upf
CELL_PARAMETERS angstrom
3.917 0.000 0.000
0.000 8.177 0.000
0.000 0.000 5.867
ATOMIC_POSITIONS angstrom
Gd 1.958 7.610 0.675
Gd 0.000 0.567 3.608
Pr 1.958 3.503 2.268
Pr 0.000 4.674 5.202
Si 0.000 1.687 0.721
Si 0.000 5.903 2.203
Si 1.958 6.490 3.655
Si 1.958 2.275 5.136
```


# 12
Density functional theory data (GGA-PBE) for crystalline PrNd2Zn3Ir2Pt at its relaxed geometry. Values from VASP.

Its space group is No. 38. Its formation energy is -688 meV/atom. The total DFT energy (no corrections) comes out at -5.339 eV per atom.

The structure in Quantum ESPRESSO input format:
```
&SYSTEM
  ibrav = 0, nat = 9, ntyp = 5
/
ATOMIC_SPECIES
Ir 192.22 Ir.upf
Nd 144.24 Nd.upf
Pr 140.91 Pr.upf
Pt 195.08 Pt.upf
Zn 65.41 Zn.upf
CELL_PARAMETERS angstrom
4.020 0.000 0.000
0.000 6.352 3.665
0.000 -6.352 3.665
ATOMIC_POSITIONS angstrom
Ir 2.010 2.132 3.669
Ir 2.010 -2.132 3.669
Nd 0.000 3.728 2.151
Nd 0.000 -3.728 2.151
Pr 0.000 0.000 3.033
Pt 0.000 0.000 7.322
Zn 2.010 4.795 4.556
Zn 2.010 0.000 5.543
Zn 2.010 -4.795 4.556
```


# 13
Density functional theory data (GGA-PBE) for crystalline Nd2Sc2CIBr4 at its relaxed geometry. Values from VASP.

Its space group is No. 12. The total DFT energy (no corrections) comes out at -5.269 eV per atom.

The structure in Quantum ESPRESSO input format:
```
&SYSTEM
  ibrav = 0, nat = 10, ntyp = 5
/
ATOMIC_SPECIES
Br 79.90 Br.upf
C 12.01 C.upf
I 126.90 I.upf
Nd 144.24 Nd.upf
Sc 44.96 Sc.upf
CELL_PARAMETERS angstrom
-3.996 1.631 7.990
-6.722 -0.246 6.102
4.036 -7.043 1.175
ATOMIC_POSITIONS angstrom
Br -8.217 -0.148 12.005
Br -0.249 -2.279 2.624
Br -6.433 -3.380 12.643
Br 1.535 -5.511 3.262
C -5.359 0.692 7.046
I -3.341 -2.829 7.634
Nd -6.583 0.337 9.166
Nd -0.098 -5.995 6.101
Sc 0.736 -1.285 0.214
Sc 3.300 -5.758 0.961
```


# 14
Density functional theory data (GGA-PBE) for crystalline NdZr3 at its relaxed geometry. Values from VASP.

Its space group is No. 63. Its formation energy is 130 meV/atom. The total DFT energy (no corrections) comes out at -7.471 eV per atom.

The structure in Quantum ESPRESSO input format:
```
&SYSTEM
  ibrav = 0, nat = 8, ntyp = 2
/
ATOMIC_SPECIES
Nd 144.24 Nd.upf
Zr 91.22 Zr.upf
CELL_PARAMETERS angstrom
-5.980 -2.969 0.505
5.413 -2.925 2.521
-0.830 2.461 4.637
ATOMIC_POSITIONS angstrom
Nd 2.725 -1.496 1.282
Nd -4.515 -1.697 3.138
Zr -0.286 -2.942 1.510
Zr 2.477 -4.347 2.751
Zr 5.329 -2.932 2.510
Zr -1.504 -0.251 2.910
Zr 1.146 -1.771 4.191
Zr -1.706 -3.186 4.432
```


# 15
Density functional theory data (GGA-PBE) for crystalline TbNdCu2As2P2 at its relaxed geometry. Values from VASP.

Its space group is No. 99. The total DFT energy (no corrections) comes out at -5.505 eV per atom.

The structure in Quantum ESPRESSO input format:
```
&SYSTEM
  ibrav = 0, nat = 8, ntyp = 5
/
ATOMIC_SPECIES
As 74.92 As.upf
Cu 63.55 Cu.upf
Nd 144.24 Nd.upf
P 30.97 P.upf
Tb 158.93 Tb.upf
CELL_PARAMETERS angstrom
-1.392 0.869 3.497
0.046 -3.744 0.948
9.272 0.987 3.447
ATOMIC_POSITIONS angstrom
As 8.515 1.414 5.172
As 9.234 -0.892 3.898
Cu 3.974 0.931 3.484
Cu 4.693 -1.375 2.210
Nd 2.244 0.239 0.834
P 2.636 -1.086 3.452
P 6.047 0.643 2.248
Tb 6.327 -0.693 4.825
```


# 16
Density functional theory data (GGA-PBE) for crystalline ZrCuTcSn at its relaxed geometry. Values from VASP.

Its space group is No. 216. The total DFT energy (no corrections) comes out at -6.774 eV per atom.

The structure in Quantum ESPRESSO input format:
```
&SYSTEM
  ibrav = 0, nat = 4, ntyp = 4
/
ATOMIC_SPECIES
Cu 63.55 Cu.upf
Sn 118.71 Sn.upf
Tc 98.00 Tc.upf
Zr 91.22 Zr.upf
CELL_PARAMETERS angstrom
0.000 3.258 3.258
3.258 0.000 3.258
3.258 3.258 0.000
ATOMIC_POSITIONS angstrom
Cu 4.887 4.887 4.887
Sn 0.000 0.000 0.000
Tc 1.629 1.629 1.629
Zr 3.258 3.258 3.258
```


# 17
Density functional theory data (GGA-PBE) for crystalline Zr2InBi2 at its relaxed geometry. Values from VASP.

Its space group is No. 139. The total DFT energy (no corrections) comes out at -5.420 eV per atom.

The structure in Quantum ESPRESSO input format:
```
&SYSTEM
  ibrav = 0, nat = 5, ntyp = 3
/
ATOMIC_SPECIES
Bi 208.98 Bi.upf
In 114.82 In.upf
Zr 91.22 Zr.upf
CELL_PARAMETERS angstrom
-2.213 2.213 6.842
2.213 -2.213 6.842
2.213 2.213 -6.842
ATOMIC_POSITIONS angstrom
Bi 0.000 2.213 3.421
Bi 2.213 0.000 3.421
In 0.000 0.000 0.000
Zr 0.000 0.000 5.509
Zr 0.000 0.000 8.175
```


# 18
Density functional theory data (GGA-PBE) for crystalline HfAg3Br6 at its relaxed geometry. Values from VASP.

Its space group is No. 225. The total DFT energy (no corrections) comes out at -3.304 eV per atom.

The structure in Quantum ESPRESSO input format:
```
&SYSTEM
  ibrav = 0, nat = 10, ntyp = 3
/
ATOMIC_SPECIES
Ag 107.87 Ag.upf
Br 79.90 Br.upf
Hf 178.49 Hf.upf
CELL_PARAMETERS angstrom
0.000 5.361 5.361
5.361 0.000 5.361
5.361 5.361 0.000
ATOMIC_POSITIONS angstrom
Ag 2.681 2.681 2.681
Ag 5.361 5.361 5.361
Ag 8.042 8.042 8.042
Br 2.595 5.361 5.361
Br 5.361 2.595 5.361
Br 5.361 5.361 8.128
Br 5.361 5.361 2.595
Br 5.361 8.128 5.361
Br 8.128 5.361 5.361
Hf 0.000 0.000 0.000
```


# 19
Density functional theory data (GGA-PBE) for crystalline Rb3PuF8 at its relaxed geometry. Values from VASP.

Its space group is No. 139. The total DFT energy (no corrections) comes out at -5.682 eV per atom.

The structure in Quantum ESPRESSO input format:
```
&SYSTEM
  ibrav = 0, nat = 12, ntyp = 3
/
ATOMIC_SPECIES
F 19.00 F.upf
Pu 244.00 Pu.upf
Rb 85.47 Rb.upf
CELL_PARAMETERS angstrom
5.945 -3.407 -2.326
1.251 -5.655 4.339
-5.977 2.087 -3.506
ATOMIC_POSITIONS angstrom
F 4.185 -2.909 -1.138
F 5.728 -4.852 -0.706
F 1.468 -4.210 2.719
F 3.011 -6.153 3.151
F -1.773 -0.058 -1.269
F -0.230 -2.001 -0.837
F 1.450 -4.974 -0.656
F 2.993 -6.917 -0.224
Pu 0.000 0.000 0.000
Rb 3.598 -4.531 1.006
Rb 1.783 -2.926 -2.413
Rb -0.564 -4.049 0.920
```


# 20
Density functional theory data (GGA-PBE) for crystalline NbGeNO at its relaxed geometry. Values from VASP.

Its space group is No. 26. The total DFT energy (no corrections) comes out at -7.709 eV per atom.

The structure in Quantum ESPRESSO input format:
```
&SYSTEM
  ibrav = 0, nat = 8, ntyp = 4
/
ATOMIC_SPECIES
Ge 72.64 Ge.upf
N 14.01 N.upf
Nb 92.91 Nb.upf
O 16.00 O.upf
CELL_PARAMETERS angstrom
1.654 2.720 0.449
-5.050 2.546 3.185
2.341 -2.345 5.585
ATOMIC_POSITIONS angstrom
Ge -3.597 3.310 4.712
Ge 0.144 0.819 6.020
N -3.281 1.237 4.596
N -0.090 -0.703 4.592
Nb -1.671 0.398 3.748
Nb 1.408 -1.430 3.479
O -0.878 1.954 2.906
O -2.127 1.949 7.543
```